(1)
First-principles (PBE-GGA) data for an optimized crystal structure of Y3TlCu, as listed in Alexandria.

Geometry as POSCAR:
```
Y3TlCu
1.0
8.464 0.000 0.000
0.000 3.768 0.000
-2.032 0.000 8.529
Y Tl Cu
6 2 2
Direct
0.060 0.250 0.218
0.310 0.250 0.925
0.311 0.750 0.580
0.689 0.250 0.420
0.690 0.750 0.075
0.940 0.750 0.782
0.391 0.750 0.240
0.609 0.250 0.760
0.059 0.250 0.589
0.941 0.750 0.411
```

Values from the calculation:
Space-group type: No. 11
Crystal system: monoclinic
E_form: -228 meV per atom

(2)
First-principles (PBE-GGA) data for an optimized crystal structure of SrTeH3, as listed in Alexandria.

Geometry as POSCAR:
```
SrTeH3
1.0
4.373 0.000 0.000
0.000 4.373 0.000
0.000 0.000 4.373
Sr Te H
1 1 3
Direct
0.000 0.000 0.000
0.500 0.500 0.500
0.000 0.000 0.500
0.000 0.500 0.000
0.500 0.000 0.000
```

Values from the calculation:
Space-group type: No. 221
Uncorrected energy: -13.20 eV for the cell shown
Crystal system: cubic